Below is a relaxed structure of V3PO, with properties calculated at the PBE with a Hubbard U level.

```
V3PO
1.0
3.922 0.000 0.000
0.000 3.922 0.000
0.000 0.000 3.922
P O V
1 1 3
Direct
0.500 0.500 0.500
0.000 0.000 0.000
0.000 0.500 0.000
0.000 0.000 0.500
0.500 0.000 0.000
```

## Properties
**Theoretical density**: 5.5 Mg/m³
**Relative energy among the computed polymorphs**: 0.000 eV/atom
**SG**: No. 221